Entry 1:
! Dy4Ho10Zr PBE relaxed; values from VASP
! SG ... I4/mmm (139)
&SYSTEM
  ibrav = 0, nat = 15, ntyp = 3
/
ATOMIC_SPECIES
Dy 162.50 Dy.upf
Zr 91.22 Zr.upf
Ho 164.93 Ho.upf
CELL_PARAMETERS angstrom
-2.567 -6.197 -3.784
5.870 -4.175 -4.983
0.674 -7.644 4.222
ATOMIC_POSITIONS crystal
Dy 0.228 0.000 0.544
Dy 0.228 0.544 0.000
Dy 0.772 0.456 0.000
Dy 0.772 0.000 0.456
Zr 0.000 0.000 0.000
Ho 0.250 0.500 0.500
Ho 0.712 0.208 0.792
Ho 0.919 0.792 0.792
Ho 0.750 0.500 0.500
Ho 0.081 0.208 0.208
Ho 0.712 0.792 0.208
Ho 0.288 0.208 0.792
Ho 0.288 0.792 0.208
Ho 0.504 0.208 0.208
Ho 0.496 0.792 0.792

---

Entry 2:
! Ca4IrPt PBE relaxed; values from VASP
! SG ... C2/c (15)
! Excess energy over the best structure of this formula in the dataset ... 0.000 eV per formula unit
&SYSTEM
  ibrav = 0, nat = 12, ntyp = 3
/
ATOMIC_SPECIES
Ca 40.08 Ca.upf
Ir 192.22 Ir.upf
Pt 195.08 Pt.upf
CELL_PARAMETERS angstrom
5.979 0.084 -2.057
-2.651 6.642 -3.183
0.169 -0.013 8.084
ATOMIC_POSITIONS crystal
Ca 0.628 0.359 0.118
Ca 0.372 0.641 0.882
Ca 0.359 0.949 0.649
Ca 0.010 0.242 0.882
Ca 0.209 0.300 0.351
Ca 0.990 0.758 0.118
Ca 0.641 0.051 0.351
Ca 0.791 0.700 0.649
Ir 0.753 0.003 0.005
Ir 0.247 0.997 0.995
Pt 0.613 0.363 0.726
Pt 0.387 0.637 0.274

---

Entry 3:
! LaBiIrC2 PBE relaxed; values from VASP
! SG ... P4/mmm (123)
&SYSTEM
  ibrav = 0, nat = 5, ntyp = 4
/
ATOMIC_SPECIES
La 138.91 La.upf
C 12.01 C.upf
Ir 192.22 Ir.upf
Bi 208.98 Bi.upf
CELL_PARAMETERS angstrom
4.528 0.000 0.000
0.000 5.307 0.000
0.000 0.000 4.528
ATOMIC_POSITIONS crystal
La 0.000 0.000 0.000
C 0.500 0.000 0.000
C 0.000 0.000 0.500
Ir 0.000 0.500 0.000
Bi 0.500 0.500 0.500

---

Entry 4:
! V2CrFe PBE relaxed; values from VASP
! SG ... P4/mmm (123)
! Excess energy over the best structure of this formula in the dataset ... 0.015 eV per formula unit
&SYSTEM
  ibrav = 0, nat = 4, ntyp = 3
/
ATOMIC_SPECIES
V 50.94 V.upf
Fe 55.84 Fe.upf
Cr 52.00 Cr.upf
CELL_PARAMETERS angstrom
2.884 0.000 0.000
0.000 2.884 0.000
0.000 0.000 5.772
ATOMIC_POSITIONS crystal
V 0.000 0.000 0.253
V 0.000 0.000 0.747
Fe 0.500 0.500 0.000
Cr 0.500 0.500 0.500

---

Entry 5:
! LaRe2Pt PBE relaxed; values from VASP
! SG ... P2/m (10)
! Excess energy over the best structure of this formula in the dataset ... 1.069 eV per formula unit
&SYSTEM
  ibrav = 0, nat = 4, ntyp = 3
/
ATOMIC_SPECIES
Re 186.21 Re.upf
La 138.91 La.upf
Pt 195.08 Pt.upf
CELL_PARAMETERS angstrom
-2.829 3.716 -1.494
-2.322 -0.236 3.812
1.946 2.507 2.549
ATOMIC_POSITIONS crystal
Re 0.000 0.912 0.949
Re 0.000 0.588 0.551
La 0.500 0.250 0.250
Pt 0.500 0.750 0.750

---

no.,calculated formation energy (meV per atom),total magnetic moment (μB per formula unit)
1,240,0.0
2,-566,0.0
3,2205,0.9
4,-157,0.1
5,236,0.0